## BaMg2InCo (GGA-PBE)

Data for an optimized crystal structure of BaMg2InCo.

Cell and atoms, written as POSCAR:
```
BaMg2InCo
1.0
5.066 0.000 0.000
0.000 5.066 0.000
0.000 0.000 5.050
Ba Mg In Co
1 2 1 1
direct
0.000 0.000 0.000
0.000 0.500 0.500
0.500 0.000 0.500
0.500 0.500 0.000
0.500 0.500 0.500
```

Output
- Magnetization: 0.0 μB per formula unit
- E: -3.082 eV/atom
- Space group: P4/mmm, No. 123
- DOS at the Fermi energy: 3.573 states/eV/cell
- Calculated formation energy: -0.09 eV/atom